This record from Alexandria describes a geometry-optimized Pr2LuAg structure. The functional is PBE.

```
Pr2LuAg
1.0
0.000 3.885 3.885
3.885 0.000 3.885
3.885 3.885 0.000
Pr Lu Ag
2 1 1
Direct
0.250 0.250 0.250
0.750 0.750 0.750
0.000 0.000 0.000
0.500 0.500 0.500
```

Values from the calculation:
The value obtained for the energy above the most stable polymorph in this dataset is 0.125 eV per atom. Its energy of formation is 0.04 eV/atom. The symmetry is Fm-3m. The value obtained for the total magnetization is 0.00 μB/cell.